<i>
A relaxed structure of Nd2SmHo5, computed with GGA-PBE.

crystal system	orthorhombic
magnetic moment	0.0	μB per cell

Unit cell a=7.151 b=14.307 c=5.055 alpha=90.00 beta=90.00 gamma=90.00
Space group Pbam (No. 55)
Symmetry-distinct sites (fractional):
Nd: 0.249 0.126 0.000 (multiplicity 4)
Sm: 0.000 0.500 0.500 (multiplicity 2)
Ho: 0.000 0.000 0.500 (multiplicity 2)
Ho: 0.001 0.751 0.500 (multiplicity 4)
Ho: 0.249 0.375 0.000 (multiplicity 4)

=====

<ii>
A relaxed structure of Nd2SmHo5, computed with GGA-PBE.

crystal system	monoclinic
magnetic moment	0.0	μB per cell

Unit cell a=16.287 b=9.911 c=6.522 alpha=90.00 beta=98.22 gamma=90.00
Space group C2/c (No. 15)
Symmetry-distinct sites (fractional):
Nd: 0.078 0.247 0.115 (multiplicity 8)
Sm: 0.250 0.250 0.000 (multiplicity 4)
Ho: 0.000 0.442 0.750 (multiplicity 4)
Ho: 0.099 0.089 0.645 (multiplicity 8)
Ho: 0.197 0.411 0.524 (multiplicity 8)

=====

It is <ii> that is the least stable of them.